An optimized crystal structure of KSc6Se8. Source: Alexandria via LeMat-Bulk, functional GGA-PBE.

a = 10.4066 Å, b = 10.4066 Å, c = 3.9314 Å
α = 90.00°, β = 90.00°, γ = 120.00°
Space group P-3 (No. 147)
Unique sites:
K: 0.0000 0.0000 0.0000 (multiplicity 1)
Sc: 0.1369 0.6525 0.7506 (multiplicity 6)
Se: 0.0448 0.3547 0.7494 (multiplicity 6)
Se: 0.3333 0.6667 0.2503 (multiplicity 2)

crystal system = trigonal
total magnetization = 1.779 Bohr magnetons per cell
ΔE_f (raw) = -1.6446 eV/atom